Entry 1:
Material: TbPr2ErS6
Method: DFT, PBE
State: relaxed

The space group is R3 (No. 146, hexagonal axes) and the conventional cell measures 7.0852, 7.0852 and 18.5955 Å, with angles of 90.00, 90.00 and 120.00 degrees. The distinct sites, in fractional coordinates, are Tb at (0.0000, 0.0000, 0.0000), Pr at (0.0000, 0.0000, 0.2922), Pr at (0.0000, 0.0000, 0.7928), Er at (0.0000, 0.0000, 0.4991), S at (0.0491, 0.6934, 0.5687) and S at (0.0508, 0.3607, 0.0695).

As for the formation energy without anion corrections: -2.0325 eV per atom.

***

Entry 2:
Material: La2MgZnIr
Method: DFT, PBE
State: relaxed

The space group is P4/mmm (No. 123) and the conventional cell measures 5.512, 5.512 and 5.130 Å, with angles of 90.00, 90.00 and 90.00 degrees. The distinct sites, in fractional coordinates, are La at (0.000, 0.500, 0.000), Mg at (0.000, 0.000, 0.500), Zn at (0.500, 0.500, 0.500) and Ir at (0.000, 0.000, 0.000).

The energy above the lowest structure with this stoichiometry is 0.004 eV/atom. The formation energy is -0.30 eV per atom.

***

Entry 3:
Material: Tb2ThPd3
Method: DFT, PBE
State: relaxed

The space group is Pmmn (No. 59, origin choice 2) and the conventional cell measures 5.032, 15.137 and 3.580 Å, with angles of 90.00, 90.00 and 90.00 degrees. The distinct sites, in fractional coordinates, are Tb at (0.250, 0.078, 0.000), Th at (0.250, 0.750, 0.001), Pd at (0.250, 0.250, 0.499) and Pd at (0.250, 0.587, 0.500).

The energy above the lowest structure with this stoichiometry is 0.000 eV/atom. The formation energy is -0.79 eV per atom.

***

Entry 4:
Material: Li9PmAg2
Method: DFT, PBE
State: relaxed

The space group is I4_1/amd (No. 141, origin choice 2) and the conventional cell measures 11.223, 11.223 and 7.388 Å, with angles of 90.00, 90.00 and 90.00 degrees. The distinct sites, in fractional coordinates, are Li at (0.000, 0.250, 0.375), Li at (0.120, 0.048, 0.186), Pm at (0.000, 0.250, 0.875) and Ag at (0.000, 0.000, 0.500).

The formation energy is -0.04 eV per atom.

***

Entry 5:
Material: YSiPt2
Method: DFT, PBE
State: relaxed

The space group is R3m (No. 160, hexagonal axes) and the conventional cell measures 4.1914, 4.1914 and 15.1477 Å, with angles of 90.00, 90.00 and 120.00 degrees. The distinct sites, in fractional coordinates, are Y at (0.0000, 0.0000, 0.0000), Si at (0.0000, 0.0000, 0.8070), Pt at (0.0000, 0.0000, 0.2065) and Pt at (0.0000, 0.0000, 0.4435).

As for the formation energy without anion corrections: -0.9541 eV per atom.

***

Entry 6:
Material: Nd2As3Rh3
Method: DFT, PBE
State: relaxed

The space group is P4/mmm (No. 123) and the conventional cell measures 2.946, 2.946 and 20.524 Å, with angles of 90.00, 90.00 and 90.00 degrees. The distinct sites, in fractional coordinates, are Nd at (0.000, 0.000, 0.242), As at (0.000, 0.000, 0.000), As at (0.000, 0.000, 0.385), Rh at (0.000, 0.000, 0.114) and Rh at (0.000, 0.000, 0.500).

The formation energy is 0.44 eV per atom.

***

Entry 7:
Material: ErUCoOs
Method: DFT, PBE
State: relaxed

The space group is F-43m (No. 216) and the conventional cell measures 6.704, 6.704 and 6.704 Å, with angles of 90.00, 90.00 and 90.00 degrees. The distinct sites, in fractional coordinates, are Er at (0.000, 0.000, 0.000), U at (0.000, 0.000, 0.500), Co at (0.250, 0.250, 0.250) and Os at (0.250, 0.250, 0.750).

The formation energy is -0.07 eV per atom.

***

Entry 8:
Material: Hg2MoAu
Method: DFT, PBE
State: relaxed

The space group is Cmmm (No. 65) and the conventional cell measures 6.084, 9.010 and 2.786 Å, with angles of 90.00, 90.00 and 90.00 degrees. The distinct sites, in fractional coordinates, are Hg at (0.250, 0.250, 0.000), Mo at (0.000, 0.000, 0.500) and Au at (0.000, 0.500, 0.500).

The energy above the lowest structure with this stoichiometry is 0.097 eV/atom. The formation energy is 0.45 eV per atom.

***

Entry 9:
Material: PmUIr2
Method: DFT, PBE
State: relaxed

The space group is R-3m (No. 166, hexagonal axes) and the conventional cell measures 3.9103, 3.9103 and 20.7791 Å, with angles of 90.00, 90.00 and 120.00 degrees. The distinct sites, in fractional coordinates, are Pm at (0.0000, 0.0000, 0.0000), U at (0.0000, 0.0000, 0.5000) and Ir at (0.0000, 0.0000, 0.2400).

The energy above the lowest structure with this stoichiometry is 0.100 eV/atom. The formation energy is -0.55 eV per atom.

***

Entry 10:
Material: Ru2PtCl
Method: DFT, PBE
State: relaxed

The space group is P4/mmm (No. 123) and the conventional cell measures 4.663, 4.663 and 2.807 Å, with angles of 90.00, 90.00 and 90.00 degrees. The distinct sites, in fractional coordinates, are Ru at (0.000, 0.500, 0.000), Pt at (0.000, 0.000, 0.500) and Cl at (0.500, 0.500, 0.500).

The energy above the lowest structure with this stoichiometry is 0.455 eV/atom. As for the formation energy without anion corrections: 0.7423 eV per atom.

***

Entry 11:
Material: Tb3Ho3Tm2
Method: DFT, PBE
State: relaxed

The space group is C2/m (No. 12) and the conventional cell measures 15.732, 5.847 and 5.848 Å, with angles of 90.00, 111.79 and 90.00 degrees. The distinct sites, in fractional coordinates, are Tb at (0.000, 0.000, 0.000), Tb at (0.126, 0.000, 0.627), Ho at (0.000, 0.500, 0.500), Ho at (0.126, 0.500, 0.125) and Tm at (0.250, 0.000, 0.251).

The energy above the lowest structure with this stoichiometry is 0.107 eV/atom. The formation energy is 0.13 eV per atom.

***

Entry 12:
Material: Tm2PaH8
Method: DFT, PBE
State: relaxed

The space group is Immm (No. 71) and the conventional cell measures 3.519, 5.367 and 10.720 Å, with angles of 90.00, 90.00 and 90.00 degrees. The distinct sites, in fractional coordinates, are Tm at (0.000, 0.000, 0.168), Pa at (0.000, 0.000, 0.500), H at (0.000, 0.222, 0.000), H at (0.000, 0.260, 0.334) and H at (0.000, 0.500, 0.150).

As for the total DFT energy (no corrections): -4.62 eV/atom.

***

| no. | DOS at the Fermi energy (states/eV per atom) | size of the total moment (μB per atom) |
| --- | --- | --- |
| 1 | 0.000 | 0.000 |
| 2 | 0.761 | 0.000 |
| 3 | 0.813 | 0.000 |
| 4 | 0.545 | 0.000 |
| 5 | 0.336 | 0.000 |
| 6 | 0.998 | 0.000 |
| 7 | 1.859 | 0.382 |
| 8 | 0.301 | 0.000 |
| 9 | 1.094 | 0.082 |
| 10 | 1.401 | 0.526 |
| 11 | 2.267 | 0.000 |
| 12 | 0.571 | 0.130 |